Entry from Alexandria via LeMat-Bulk: a geometry-optimized SrLa3Ru structure (PBE).

energy = -52.77 eV per cell
formation enthalpy at 0 K = -0.129 eV per atom
energy above the lowest structure with this stoichiometry = 49.7 meV per atom
total moment = 0.000 μB/f.u.

Cell and atoms, written as extended XYZ:
```
10
Lattice="6.996 0.000 0.000 -2.339 6.721 0.000 -0.013 -0.020 8.084" Properties=species:S:1:pos:R:3 pbc="T T T"
Sr 0.000 0.000 0.000
Sr -1.174 3.345 6.218
La 1.201 6.430 2.103
La 2.369 3.067 4.095
La 1.254 6.548 6.046
La 2.440 3.199 0.151
La 5.733 3.192 2.231
La 4.561 6.551 3.988
Ru 4.598 1.320 4.225
Ru 3.438 4.685 1.984
```